<P>
The following is a PBE calculation of an optimized crystal structure of VCuP2Cl, from Alexandria via LeMat-Bulk.

Geometry as POSCAR:
```
VCuP2Cl
1.0
4.502 0.000 0.000
0.000 4.502 0.000
0.000 0.000 4.848
Cl Cu P V
1 1 2 1
Direct
0.000 0.000 0.500
0.500 0.500 0.500
0.500 0.000 0.000
0.000 0.500 0.000
0.000 0.000 0.000
```

- V (Å³ per atom) = 19.65
- ρ (g/cm3) = 3.6

<Q>
The following is a PBE calculation of an optimized crystal structure of VCuP2Cl, from Alexandria via LeMat-Bulk.

Geometry as POSCAR:
```
VCuP2Cl
1.0
4.402 0.000 0.000
0.000 4.402 0.000
0.000 0.000 4.759
P Cl V Cu
2 1 1 1
Direct
0.500 0.000 0.000
0.000 0.500 0.000
0.000 0.000 0.500
0.500 0.500 0.500
0.000 0.000 0.000
```

- V (Å³ per atom) = 18.44
- ρ (g/cm3) = 3.8

What should be chosen as the least stable of them? Choose <Q>.

<P>
The following is a PBE calculation of an optimized crystal structure of CuP2WCl, from Alexandria via LeMat-Bulk.

Geometry as POSCAR:
```
CuP2WCl
1.0
-0.523 0.527 4.352
-4.271 -1.049 -0.387
1.034 -4.456 0.663
Cu W P Cl
1 1 2 1
Direct
0.000 0.000 0.000
0.500 0.500 0.500
0.500 0.000 0.000
0.000 0.500 0.000
0.000 0.000 0.500
```

- V (Å³ per atom) = 18.02
- ρ (g/cm3) = 6.4

<Q>
The following is a PBE calculation of an optimized crystal structure of CuP2WCl, from Alexandria via LeMat-Bulk.

Geometry as POSCAR:
```
CuP2WCl
1.0
-1.960 -0.769 -4.200
-2.661 -3.395 1.863
-3.433 3.244 1.008
P Cl W Cu
2 1 1 1
Direct
0.500 0.000 0.000
0.000 0.500 0.000
0.000 0.000 0.500
0.000 0.000 0.000
0.500 0.500 0.500
```

- V (Å³ per atom) = 21.32
- ρ (g/cm3) = 5.4

What should be chosen as the least stable of them? Choose <P>.

<P>
The following is a PBE calculation of an optimized crystal structure of CuPb2Cl, from Alexandria via LeMat-Bulk.

Geometry as POSCAR:
```
CuPb2Cl
1.0
6.377 0.000 0.000
0.000 6.377 0.000
3.188 3.188 6.567
Cl Pb Cu
2 4 2
Direct
0.250 0.750 0.500
0.500 0.500 0.000
0.875 0.936 0.750
0.375 0.314 0.750
0.686 0.125 0.250
0.064 0.625 0.250
0.750 0.250 0.500
0.000 0.000 0.000
```

- V (Å³ per atom) = 33.38
- ρ (g/cm3) = 6.4

<Q>
The following is a PBE calculation of an optimized crystal structure of CuPb2Cl, from Alexandria via LeMat-Bulk.

Geometry as POSCAR:
```
CuPb2Cl
1.0
-4.696 2.994 -6.314
-7.330 3.653 -1.952
7.127 -1.020 4.365
Cl Pb Cu
1 2 1
Direct
0.446 0.446 0.000
0.783 0.283 0.500
0.068 0.068 0.000
0.204 0.704 0.500
```

- V (Å³ per atom) = 26.45
- ρ (g/cm3) = 8.1

What should be chosen as the least stable of them? Choose <P>.

<P>
The following is a PBE calculation of an optimized crystal structure of CuPb2Cl, from Alexandria via LeMat-Bulk.

Geometry as POSCAR:
```
CuPb2Cl
1.0
-2.685 -2.749 -0.415
0.625 -2.984 -2.376
2.633 -6.052 5.170
Cl Pb Cu
1 2 1
Direct
0.750 0.750 0.750
0.512 0.512 0.465
0.988 0.988 0.035
0.250 0.250 0.250
```

- V (Å³ per atom) = 26.11
- ρ (g/cm3) = 8.2

<Q>
The following is a PBE calculation of an optimized crystal structure of CuPb2Cl, from Alexandria via LeMat-Bulk.

Geometry as POSCAR:
```
CuPb2Cl
1.0
-0.065 1.233 5.396
3.013 -1.631 0.409
3.511 4.049 -0.883
Cl Pb Cu
1 2 1
Direct
0.000 0.494 0.396
0.500 0.227 0.340
0.000 0.875 0.877
0.500 0.903 0.887
```

- V (Å³ per atom) = 25.45
- ρ (g/cm3) = 8.4

What should be chosen as the least stable of them? Choose <Q>.